(1)
Density functional theory data (PBE-GGA) for a relaxed structure of NdHfGa.

Cell: 6.810 6.810 6.810 Å, 90.00 90.00 90.00°
Fractional positions:
Nd 0.000 0.000 0.000
Nd 0.000 0.500 0.500
Nd 0.500 0.000 0.500
Nd 0.500 0.500 0.000
Hf 0.000 0.000 0.500
Hf 0.000 0.500 0.000
Hf 0.500 0.000 0.000
Hf 0.500 0.500 0.500
Ga 0.250 0.250 0.750
Ga 0.250 0.750 0.250
Ga 0.750 0.250 0.250
Ga 0.750 0.750 0.750

Calculated values
Total moment = 0.01 μB/f.u.
E = -5.88 eV per atom

***

(2)
Density functional theory data (PBE-GGA) for a relaxed structure of HfGa2Ni.

Cell: 6.310 6.310 6.310 Å, 90.00 90.00 90.00°
Fractional positions:
Hf 0.000 0.000 0.000
Hf 0.000 0.500 0.500
Hf 0.500 0.000 0.500
Hf 0.500 0.500 0.000
Ga 0.000 0.000 0.500
Ga 0.000 0.500 0.000
Ga 0.250 0.250 0.250
Ga 0.250 0.750 0.750
Ga 0.500 0.000 0.000
Ga 0.500 0.500 0.500
Ga 0.750 0.250 0.750
Ga 0.750 0.750 0.250
Ni 0.250 0.250 0.750
Ni 0.250 0.750 0.250
Ni 0.750 0.250 0.250
Ni 0.750 0.750 0.750

Calculated values
Total moment = 0.00 μB/f.u.
E = -5.66 eV per atom

***

(3)
Density functional theory data (PBE-GGA) for a relaxed structure of HfGa2Ni.

Cell: 9.587 9.587 9.587 Å, 100.28 100.28 130.03°
Fractional positions:
Hf 0.000 0.000 0.000
Hf 0.077 0.077 0.406
Hf 0.077 0.671 0.000
Hf 0.095 0.382 0.714
Hf 0.382 0.095 0.714
Hf 0.382 0.668 0.286
Hf 0.444 0.444 0.000
Hf 0.668 0.382 0.286
Hf 0.671 0.077 0.000
Hf 0.671 0.671 0.594
Ga 0.090 0.090 0.736
Ga 0.090 0.355 0.000
Ga 0.244 0.862 0.383
Ga 0.268 0.477 0.494
Ga 0.268 0.774 0.791
Ga 0.355 0.090 0.000
Ga 0.355 0.355 0.264
Ga 0.477 0.268 0.494
Ga 0.477 0.984 0.209
Ga 0.479 0.862 0.617
Ga 0.555 0.714 0.841
Ga 0.714 0.555 0.841
Ga 0.714 0.874 0.159
Ga 0.774 0.268 0.791
Ga 0.774 0.984 0.506
Ga 0.862 0.244 0.383
Ga 0.862 0.479 0.617
Ga 0.874 0.714 0.159
Ga 0.984 0.477 0.209
Ga 0.984 0.774 0.506
Ni 0.025 0.241 0.216
Ni 0.025 0.809 0.784
Ni 0.109 0.609 0.500
Ni 0.241 0.025 0.216
Ni 0.374 0.374 0.675
Ni 0.374 0.698 0.000
Ni 0.609 0.109 0.500
Ni 0.698 0.374 0.000
Ni 0.698 0.698 0.325
Ni 0.809 0.025 0.784

Calculated values
Total moment = 0.00 μB/f.u.
E = -5.94 eV per atom

***

(4)
Density functional theory data (PBE-GGA) for a relaxed structure of HfGaNiOs.

Cell: 6.273 6.273 6.273 Å, 90.00 90.00 90.00°
Fractional positions:
Hf 0.000 0.000 0.000
Hf 0.000 0.500 0.500
Hf 0.500 0.000 0.500
Hf 0.500 0.500 0.000
Ga 0.250 0.250 0.250
Ga 0.250 0.750 0.750
Ga 0.750 0.250 0.750
Ga 0.750 0.750 0.250
Ni 0.000 0.000 0.500
Ni 0.000 0.500 0.000
Ni 0.500 0.000 0.000
Ni 0.500 0.500 0.500
Os 0.250 0.250 0.750
Os 0.250 0.750 0.250
Os 0.750 0.250 0.250
Os 0.750 0.750 0.750

Calculated values
Total moment = 0.05 μB/f.u.
E = -7.45 eV per atom

***

(5)
Density functional theory data (PBE-GGA) for a relaxed structure of HfGaNiPd.

Cell: 6.274 6.274 6.274 Å, 90.00 90.00 90.00°
Fractional positions:
Hf 0.000 0.000 0.000
Hf 0.000 0.500 0.500
Hf 0.500 0.000 0.500
Hf 0.500 0.500 0.000
Ga 0.000 0.000 0.500
Ga 0.000 0.500 0.000
Ga 0.500 0.000 0.000
Ga 0.500 0.500 0.500
Ni 0.250 0.250 0.750
Ni 0.250 0.750 0.250
Ni 0.750 0.250 0.250
Ni 0.750 0.750 0.750
Pd 0.250 0.250 0.250
Pd 0.250 0.750 0.750
Pd 0.750 0.250 0.750
Pd 0.750 0.750 0.250

Calculated values
Total moment = 0.00 μB/f.u.
E = -6.55 eV per atom

***

(6)
Density functional theory data (PBE-GGA) for a relaxed structure of HfGaNiPd.

Cell: 6.299 6.299 6.299 Å, 90.00 90.00 90.00°
Fractional positions:
Hf 0.000 0.000 0.000
Hf 0.000 0.500 0.500
Hf 0.500 0.000 0.500
Hf 0.500 0.500 0.000
Ga 0.250 0.250 0.250
Ga 0.250 0.750 0.750
Ga 0.750 0.250 0.750
Ga 0.750 0.750 0.250
Ni 0.000 0.000 0.500
Ni 0.000 0.500 0.000
Ni 0.500 0.000 0.000
Ni 0.500 0.500 0.500
Pd 0.250 0.250 0.750
Pd 0.250 0.750 0.250
Pd 0.750 0.250 0.250
Pd 0.750 0.750 0.750

Calculated values
Total moment = 0.00 μB/f.u.
E = -6.34 eV per atom

***

(7)
Density functional theory data (PBE-GGA) for a relaxed structure of HfGaNiPt.

Cell: 6.323 6.323 6.323 Å, 90.00 90.00 90.00°
Fractional positions:
Hf 0.000 0.000 0.000
Hf 0.000 0.500 0.500
Hf 0.500 0.000 0.500
Hf 0.500 0.500 0.000
Ga 0.250 0.250 0.250
Ga 0.250 0.750 0.750
Ga 0.750 0.250 0.750
Ga 0.750 0.750 0.250
Ni 0.000 0.000 0.500
Ni 0.000 0.500 0.000
Ni 0.500 0.000 0.000
Ni 0.500 0.500 0.500
Pt 0.250 0.250 0.750
Pt 0.250 0.750 0.250
Pt 0.750 0.250 0.250
Pt 0.750 0.750 0.750

Calculated values
Total moment = 0.01 μB/f.u.
E = -6.67 eV per atom

***

(8)
Density functional theory data (PBE-GGA) for a relaxed structure of HfGaNiPt.

Cell: 6.301 6.301 6.301 Å, 90.00 90.00 90.00°
Fractional positions:
Hf 0.000 0.000 0.000
Hf 0.000 0.500 0.500
Hf 0.500 0.000 0.500
Hf 0.500 0.500 0.000
Ga 0.000 0.000 0.500
Ga 0.000 0.500 0.000
Ga 0.500 0.000 0.000
Ga 0.500 0.500 0.500
Ni 0.250 0.250 0.750
Ni 0.250 0.750 0.250
Ni 0.750 0.250 0.250
Ni 0.750 0.750 0.750
Pt 0.250 0.250 0.250
Pt 0.250 0.750 0.750
Pt 0.750 0.250 0.750
Pt 0.750 0.750 0.250

Calculated values
Total moment = 0.00 μB/f.u.
E = -6.88 eV per atom

***

(9)
Density functional theory data (PBE-GGA) for a relaxed structure of HfGaReNi.

Cell: 6.309 6.309 6.309 Å, 90.00 90.00 90.00°
Fractional positions:
Hf 0.000 0.000 0.000
Hf 0.000 0.500 0.500
Hf 0.500 0.000 0.500
Hf 0.500 0.500 0.000
Ga 0.250 0.250 0.250
Ga 0.250 0.750 0.750
Ga 0.750 0.250 0.750
Ga 0.750 0.750 0.250
Re 0.250 0.250 0.750
Re 0.250 0.750 0.250
Re 0.750 0.250 0.250
Re 0.750 0.750 0.750
Ni 0.000 0.000 0.500
Ni 0.000 0.500 0.000
Ni 0.500 0.000 0.000
Ni 0.500 0.500 0.500

Calculated values
Total moment = 0.49 μB/f.u.
E = -7.57 eV per atom

***

(10)
Density functional theory data (PBE-GGA) for a relaxed structure of Hf2GaNi2Sb.

Cell: 7.335 7.335 7.335 Å, 131.74 131.74 70.65°
Fractional positions:
Hf 0.242 0.242 0.000
Hf 0.508 0.008 0.500
Hf 0.758 0.758 0.000
Hf 0.992 0.492 0.500
Ga 0.000 0.000 0.000
Ga 0.750 0.250 0.500
Ni 0.126 0.125 0.501
Ni 0.375 0.874 0.999
Ni 0.624 0.625 0.499
Ni 0.875 0.376 0.001
Sb 0.250 0.750 0.500
Sb 0.500 0.500 0.000

Calculated values
Total moment = 0.00 μB/f.u.
E = -7.03 eV per atom

***

(11)
Density functional theory data (PBE-GGA) for a relaxed structure of HfTaGaNi.

Cell: 6.448 6.448 6.448 Å, 90.00 90.00 90.00°
Fractional positions:
Hf 0.000 0.000 0.000
Hf 0.000 0.500 0.500
Hf 0.500 0.000 0.500
Hf 0.500 0.500 0.000
Ta 0.250 0.250 0.250
Ta 0.250 0.750 0.750
Ta 0.750 0.250 0.750
Ta 0.750 0.750 0.250
Ga 0.000 0.000 0.500
Ga 0.000 0.500 0.000
Ga 0.500 0.000 0.000
Ga 0.500 0.500 0.500
Ni 0.250 0.250 0.750
Ni 0.250 0.750 0.250
Ni 0.750 0.250 0.250
Ni 0.750 0.750 0.750

Calculated values
Total moment = 1.98 μB/f.u.
E = -7.45 eV per atom

***

(12)
Density functional theory data (PBE-GGA) for a relaxed structure of HfGaNiW.

Cell: 6.374 6.374 6.374 Å, 90.00 90.00 90.00°
Fractional positions:
Hf 0.000 0.000 0.000
Hf 0.000 0.500 0.500
Hf 0.500 0.000 0.500
Hf 0.500 0.500 0.000
Ga 0.250 0.250 0.250
Ga 0.250 0.750 0.750
Ga 0.750 0.250 0.750
Ga 0.750 0.750 0.250
Ni 0.000 0.000 0.500
Ni 0.000 0.500 0.000
Ni 0.500 0.000 0.000
Ni 0.500 0.500 0.500
W 0.250 0.250 0.750
W 0.250 0.750 0.250
W 0.750 0.250 0.250
W 0.750 0.750 0.750

Calculated values
Total moment = 1.15 μB/f.u.
E = -7.54 eV per atom

***

(13)
Density functional theory data (PBE-GGA) for a relaxed structure of YHfGaNi.

Cell: 6.709 6.709 6.709 Å, 90.00 90.00 90.00°
Fractional positions:
Y 0.000 0.000 0.000
Y 0.000 0.500 0.500
Y 0.500 0.000 0.500
Y 0.500 0.500 0.000
Hf 0.250 0.250 0.250
Hf 0.250 0.750 0.750
Hf 0.750 0.250 0.750
Hf 0.750 0.750 0.250
Ga 0.000 0.000 0.500
Ga 0.000 0.500 0.000
Ga 0.500 0.000 0.000
Ga 0.500 0.500 0.500
Ni 0.250 0.250 0.750
Ni 0.250 0.750 0.250
Ni 0.750 0.250 0.250
Ni 0.750 0.750 0.750

Calculated values
Total moment = 1.82 μB/f.u.
E = -6.13 eV per atom

***

(14)
Density functional theory data (PBE-GGA) for a relaxed structure of HfZrGaNi.

Cell: 6.581 6.581 6.581 Å, 90.00 90.00 90.00°
Fractional positions:
Hf 0.000 0.000 0.000
Hf 0.000 0.500 0.500
Hf 0.500 0.000 0.500
Hf 0.500 0.500 0.000
Zr 0.250 0.250 0.750
Zr 0.250 0.750 0.250
Zr 0.750 0.250 0.250
Zr 0.750 0.750 0.750
Ga 0.250 0.250 0.250
Ga 0.250 0.750 0.750
Ga 0.750 0.250 0.750
Ga 0.750 0.750 0.250
Ni 0.000 0.000 0.500
Ni 0.000 0.500 0.000
Ni 0.500 0.000 0.000
Ni 0.500 0.500 0.500

Calculated values
Total moment = 2.86 μB/f.u.
E = -6.70 eV per atom

***

(15)
Density functional theory data (PBE-GGA) for a relaxed structure of HfZrGa2Ni4.

Cell: 4.089 4.089 8.036 Å, 90.00 90.00 120.00°
Fractional positions:
Hf 0.000 0.000 0.000
Zr 0.667 0.333 0.500
Ga 0.333 0.667 0.250
Ga 0.333 0.667 0.750
Ni 0.000 0.000 0.334
Ni 0.000 0.000 0.666
Ni 0.667 0.333 0.164
Ni 0.667 0.333 0.836

Calculated values
Total moment = 0.00 μB/f.u.
E = -6.45 eV per atom

***

(16)
Density functional theory data (PBE-GGA) for a relaxed structure of HfNpGa.

Cell: 6.507 6.507 6.507 Å, 90.00 90.00 90.00°
Fractional positions:
Hf 0.000 0.000 0.000
Hf 0.000 0.500 0.500
Hf 0.500 0.000 0.500
Hf 0.500 0.500 0.000
Np 0.000 0.000 0.500
Np 0.000 0.500 0.000
Np 0.500 0.000 0.000
Np 0.500 0.500 0.500
Ga 0.250 0.250 0.250
Ga 0.250 0.750 0.750
Ga 0.750 0.250 0.750
Ga 0.750 0.750 0.250

Calculated values
Total moment = 5.03 μB/f.u.
E = -8.16 eV per atom

***

(17)
Density functional theory data (PBE-GGA) for a relaxed structure of HfGaPO.

Cell: 3.767 7.777 5.631 Å, 90.00 90.00 90.00°
Fractional positions:
Hf 0.000 0.163 0.000
Hf 0.000 0.837 0.500
Ga 0.500 0.359 0.368
Ga 0.500 0.641 0.868
P 0.500 0.333 0.799
P 0.500 0.667 0.299
O 0.000 0.039 0.307
O 0.000 0.961 0.807

Calculated values
Total moment = 0.01 μB/f.u.
E = -7.05 eV per atom

***

(18)
Density functional theory data (PBE-GGA) for a relaxed structure of HfGaPO.

Cell: 3.549 3.549 9.787 Å, 90.00 90.00 90.00°
Fractional positions:
Hf 0.250 0.250 0.127
Hf 0.750 0.750 0.873
Ga 0.250 0.750 0.500
Ga 0.750 0.250 0.500
P 0.250 0.250 0.738
P 0.750 0.750 0.262
O 0.250 0.750 0.000
O 0.750 0.250 0.000

Calculated values
Total moment = 0.00 μB/f.u.
E = -7.20 eV per atom

***

(19)
Density functional theory data (PBE-GGA) for a relaxed structure of HfGaPO.

Cell: 3.823 7.604 5.237 Å, 90.00 90.00 90.00°
Fractional positions:
Hf 0.000 0.140 0.000
Hf 0.000 0.860 0.500
Ga 0.500 0.402 0.524
Ga 0.500 0.598 0.024
P 0.000 0.199 0.498
P 0.000 0.801 0.998
O 0.500 0.205 0.997
O 0.500 0.795 0.497

Calculated values
Total moment = 0.00 μB/f.u.
E = -7.12 eV per atom

***

(20)
Density functional theory data (PBE-GGA) for a relaxed structure of HfGaPO.

Cell: 5.109 5.109 4.647 Å, 90.00 90.00 90.00°
Fractional positions:
Hf 0.250 0.750 0.000
Hf 0.750 0.250 0.000
Ga 0.250 0.250 0.409
Ga 0.750 0.750 0.591
P 0.250 0.250 0.894
P 0.750 0.750 0.106
O 0.250 0.750 0.500
O 0.750 0.250 0.500

Calculated values
Total moment = 0.00 μB/f.u.
E = -6.85 eV per atom

***

(21)
Density functional theory data (PBE-GGA) for a relaxed structure of HfGaOs.

Cell: 6.237 6.237 6.237 Å, 90.00 90.00 90.00°
Fractional positions:
Hf 0.000 0.000 0.000
Hf 0.000 0.500 0.500
Hf 0.500 0.000 0.500
Hf 0.500 0.500 0.000
Ga 0.250 0.250 0.750
Ga 0.250 0.750 0.250
Ga 0.750 0.250 0.250
Ga 0.750 0.750 0.750
Os 0.250 0.250 0.250
Os 0.250 0.750 0.750
Os 0.750 0.250 0.750
Os 0.750 0.750 0.250

Calculated values
Total moment = 0.01 μB/f.u.
E = -7.69 eV per atom

***

(22)
Density functional theory data (PBE-GGA) for a relaxed structure of Hf2GaOs.

Cell: 6.526 6.526 6.526 Å, 90.00 90.00 90.00°
Fractional positions:
Hf 0.000 0.000 0.000
Hf 0.000 0.500 0.500
Hf 0.250 0.250 0.250
Hf 0.250 0.750 0.750
Hf 0.500 0.000 0.500
Hf 0.500 0.500 0.000
Hf 0.750 0.250 0.750
Hf 0.750 0.750 0.250
Ga 0.000 0.000 0.500
Ga 0.000 0.500 0.000
Ga 0.500 0.000 0.000
Ga 0.500 0.500 0.500
Os 0.250 0.250 0.750
Os 0.250 0.750 0.250
Os 0.750 0.250 0.250
Os 0.750 0.750 0.750

Calculated values
Total moment = 0.03 μB/f.u.
E = -8.70 eV per atom

***

(23)
Density functional theory data (PBE-GGA) for a relaxed structure of HfGa2Os.

Cell: 6.386 6.386 6.386 Å, 90.00 90.00 90.00°
Fractional positions:
Hf 0.000 0.000 0.000
Hf 0.000 0.500 0.500
Hf 0.500 0.000 0.500
Hf 0.500 0.500 0.000
Ga 0.000 0.000 0.500
Ga 0.000 0.500 0.000
Ga 0.250 0.250 0.250
Ga 0.250 0.750 0.750
Ga 0.500 0.000 0.000
Ga 0.500 0.500 0.500
Ga 0.750 0.250 0.750
Ga 0.750 0.750 0.250
Os 0.250 0.250 0.750
Os 0.250 0.750 0.250
Os 0.750 0.250 0.250
Os 0.750 0.750 0.750

Calculated values
Total moment = 0.00 μB/f.u.
E = -6.96 eV per atom

***

(24)
Density functional theory data (PBE-GGA) for a relaxed structure of Hf3GaP.

Cell: 5.820 5.820 9.507 Å, 90.00 90.00 142.92°
Fractional positions:
Hf 0.060 0.940 0.750
Hf 0.355 0.645 0.566
Hf 0.355 0.645 0.934
Hf 0.645 0.355 0.066
Hf 0.645 0.355 0.434
Hf 0.940 0.060 0.250
Ga 0.253 0.747 0.250
Ga 0.747 0.253 0.750
P 0.000 0.000 0.000
P 0.000 0.000 0.500

Calculated values
Total moment = 0.00 μB/f.u.
E = -8.38 eV per atom

***

(25)
Density functional theory data (PBE-GGA) for a relaxed structure of HfPaGa6.

Cell: 4.207 4.207 8.295 Å, 90.00 90.00 90.00°
Fractional positions:
Hf 0.000 0.000 0.000
Pa 0.000 0.000 0.500
Ga 0.000 0.500 0.241
Ga 0.000 0.500 0.759
Ga 0.500 0.000 0.241
Ga 0.500 0.000 0.759
Ga 0.500 0.500 0.000
Ga 0.500 0.500 0.500

Calculated values
Total moment = 0.00 μB/f.u.
E = -5.09 eV per atom

***

(26)
Density functional theory data (PBE-GGA) for a relaxed structure of HfGa2Pb.

Cell: 7.100 7.100 7.100 Å, 90.00 90.00 90.00°
Fractional positions:
Hf 0.000 0.000 0.000
Hf 0.000 0.500 0.500
Hf 0.500 0.000 0.500
Hf 0.500 0.500 0.000
Ga 0.000 0.000 0.500
Ga 0.000 0.500 0.000
Ga 0.250 0.250 0.250
Ga 0.250 0.750 0.750
Ga 0.500 0.000 0.000
Ga 0.500 0.500 0.500
Ga 0.750 0.250 0.750
Ga 0.750 0.750 0.250
Pb 0.250 0.250 0.750
Pb 0.250 0.750 0.250
Pb 0.750 0.250 0.250
Pb 0.750 0.750 0.750

Calculated values
Total moment = 0.01 μB/f.u.
E = -4.63 eV per atom